Entry 1:
Density functional theory data (PBE) for BaY2IrO8 after structural relaxation.

Results
volume: 13.09 A^3/atom
crystal system: triclinic
final energy: -7.34 eV/atom
space-group type: No. 2

POSCAR file:
```
BaY2IrO8
1.0
5.224 -0.092 -0.047
-0.084 4.314 0.640
-0.035 1.032 7.125
Ba Y Ir O
1 2 1 8
direct
0.000 0.000 0.500
0.482 0.388 0.791
0.518 0.612 0.209
0.000 0.000 0.000
0.974 0.645 0.239
0.771 0.784 0.872
0.695 0.167 0.095
0.026 0.355 0.761
0.229 0.216 0.128
0.305 0.833 0.905
0.496 0.744 0.493
0.504 0.256 0.507
```

---

Entry 2:
Density functional theory data (PBE) for Ba2YIrO6 after structural relaxation.

Results
volume: 15.09 A^3/atom
crystal system: cubic
final energy: -7.23 eV/atom
space-group type: No. 225

POSCAR file:
```
Ba2YIrO6
1.0
5.976 0.000 0.000
2.988 5.176 0.000
2.988 1.725 4.880
Ba Y Ir O
2 1 1 6
direct
0.750 0.750 0.750
0.250 0.250 0.250
0.000 0.000 0.000
0.500 0.500 0.500
0.736 0.736 0.264
0.264 0.264 0.736
0.736 0.264 0.264
0.736 0.264 0.736
0.264 0.736 0.736
0.264 0.736 0.264
```

---

Entry 3:
Density functional theory data (PBE) for Ba2YIr3O12 after structural relaxation.

Results
volume: 14.39 A^3/atom
crystal system: trigonal
final energy: -6.89 eV/atom
space-group type: No. 166

POSCAR file:
```
Ba2YIr3O12
1.0
7.012 -0.146 -0.104
3.336 6.169 -0.104
3.336 1.942 5.856
Ba Y Ir O
2 1 3 12
direct
0.614 0.614 0.614
0.386 0.386 0.386
0.000 0.000 0.000
0.500 0.000 0.000
0.000 0.500 0.000
0.000 0.000 0.500
0.304 0.304 0.882
0.884 0.884 0.392
0.392 0.884 0.884
0.882 0.304 0.304
0.884 0.392 0.884
0.304 0.882 0.304
0.696 0.696 0.118
0.116 0.116 0.608
0.608 0.116 0.116
0.118 0.696 0.696
0.116 0.608 0.116
0.696 0.118 0.696
```

---

Entry 4:
Density functional theory data (PBE) for BaYIrO6 after structural relaxation.

Results
volume: 17.22 A^3/atom
crystal system: trigonal
final energy: -7.10 eV/atom
space-group type: No. 149

POSCAR file:
```
BaYIrO6
1.0
-3.399 -2.836 3.477
-1.946 -5.070 -1.481
4.492 -2.428 2.411
Ba Y Ir O
1 1 1 6
direct
0.000 0.000 0.000
0.667 0.667 0.500
0.333 0.333 0.500
0.044 0.352 0.304
0.352 0.044 0.696
0.604 0.352 0.696
0.044 0.604 0.696
0.352 0.604 0.304
0.604 0.044 0.304
```

---

Entry 5:
Density functional theory data (PBE) for BaYIr2O8 after structural relaxation.

Results
volume: 19.59 A^3/atom
crystal system: trigonal
final energy: -6.84 eV/atom
space-group type: No. 164

POSCAR file:
```
BaYIr2O8
1.0
5.946 0.000 0.000
-2.973 5.150 0.000
0.000 0.000 7.678
Ba Y Ir O
1 1 2 8
direct
0.000 0.000 0.000
0.000 0.000 0.500
0.667 0.333 0.231
0.333 0.667 0.769
0.333 0.667 0.007
0.322 0.161 0.302
0.839 0.161 0.302
0.667 0.333 0.993
0.161 0.839 0.698
0.678 0.839 0.698
0.161 0.322 0.698
0.839 0.678 0.302
```

---

Entry 6:
Density functional theory data (PBE) for BaZnIrO6 after structural relaxation.

Results
volume: 15.75 A^3/atom
crystal system: trigonal
final energy: -5.83 eV/atom
space-group type: No. 149

POSCAR file:
```
BaZnIrO6
1.0
5.379 0.000 0.000
2.690 4.658 0.000
0.000 0.000 5.655
Ba Zn Ir O
1 1 1 6
direct
0.000 0.000 0.000
0.667 0.667 0.500
0.333 0.333 0.500
0.027 0.373 0.308
0.373 0.027 0.692
0.601 0.373 0.692
0.027 0.601 0.692
0.373 0.601 0.308
0.601 0.027 0.308
```

---

Entry 7:
Density functional theory data (PBE) for Ba2ZnIrO4 after structural relaxation.

Results
volume: 18.72 A^3/atom
crystal system: orthorhombic
final energy: -5.60 eV/atom
space-group type: No. 70

POSCAR file:
```
Ba2ZnIrO4
1.0
-1.611 -0.805 -4.651
3.730 -4.712 -3.151
-6.665 -7.182 0.878
Ba Zn Ir O
4 2 2 8
direct
0.175 0.000 0.650
0.825 0.000 0.350
0.575 0.500 0.850
0.925 0.500 0.150
0.250 0.500 0.500
0.500 0.000 0.000
0.750 0.500 0.500
0.000 0.000 0.000
0.328 0.752 0.066
0.145 0.248 0.934
0.920 0.752 0.934
0.607 0.248 0.066
0.422 0.748 0.434
0.605 0.252 0.566
0.830 0.748 0.566
0.143 0.252 0.434
```

---

Entry 8:
Density functional theory data (PBE) for Ba3ZnIr2O9 after structural relaxation.

Results
volume: 14.20 A^3/atom
crystal system: hexagonal
final energy: -6.32 eV/atom
space-group type: No. 194

POSCAR file:
```
Ba3ZnIr2O9
1.0
5.844 0.000 0.000
-2.922 5.061 0.000
0.000 0.000 14.409
Ba Zn Ir O
6 2 4 18
direct
0.333 0.667 0.916
0.667 0.333 0.084
0.000 0.000 0.250
0.333 0.667 0.584
0.667 0.333 0.416
0.000 0.000 0.750
0.000 0.000 0.000
0.000 0.000 0.500
0.333 0.667 0.340
0.667 0.333 0.660
0.333 0.667 0.160
0.667 0.333 0.840
0.511 0.489 0.750
0.655 0.827 0.083
0.173 0.345 0.083
0.489 0.979 0.250
0.655 0.827 0.417
0.827 0.655 0.583
0.345 0.173 0.917
0.511 0.021 0.750
0.173 0.827 0.417
0.827 0.173 0.583
0.827 0.173 0.917
0.173 0.345 0.417
0.345 0.173 0.583
0.979 0.489 0.750
0.827 0.655 0.917
0.173 0.827 0.083
0.021 0.511 0.250
0.489 0.511 0.250
```

---

Entry 9:
Density functional theory data (PBE) for Ba2ZnIr3O12 after structural relaxation.

Results
volume: 14.19 A^3/atom
crystal system: trigonal
final energy: -6.24 eV/atom
space-group type: No. 166

POSCAR file:
```
Ba2ZnIr3O12
1.0
7.010 -0.107 -0.076
3.369 6.149 -0.076
3.369 1.961 5.828
Ba Zn Ir O
2 1 3 12
direct
0.613 0.613 0.613
0.387 0.387 0.387
0.000 0.000 0.000
0.500 0.000 0.000
0.000 0.500 0.000
0.000 0.000 0.500
0.319 0.319 0.890
0.905 0.905 0.358
0.358 0.905 0.905
0.890 0.319 0.319
0.905 0.358 0.905
0.319 0.890 0.319
0.681 0.681 0.110
0.095 0.095 0.642
0.642 0.095 0.095
0.110 0.681 0.681
0.095 0.642 0.095
0.681 0.110 0.681
```

---

Entry 10:
Density functional theory data (PBE) for BaZr2IrO8 after structural relaxation.

Results
volume: 15.95 A^3/atom
crystal system: triclinic
final energy: -7.83 eV/atom
space-group type: No. 2

POSCAR file:
```
BaZr2IrO8
1.0
-1.332 1.587 -4.807
4.135 -1.615 -2.772
-2.779 -6.246 -2.366
Ba Zr Ir O
1 2 1 8
direct
0.000 0.000 0.500
0.455 0.455 0.729
0.545 0.545 0.271
0.000 0.000 0.000
0.223 0.792 0.189
0.768 0.765 0.061
0.790 0.222 0.189
0.777 0.208 0.811
0.232 0.235 0.939
0.210 0.778 0.811
0.662 0.660 0.496
0.338 0.340 0.504
```

---

Entry 11:
Density functional theory data (PBE) for BaZrIrO6 after structural relaxation.

Results
volume: 15.70 A^3/atom
crystal system: orthorhombic
final energy: -7.38 eV/atom
space-group type: No. 74

POSCAR file:
```
BaZrIrO6
1.0
-0.946 -3.184 6.642
-0.679 -6.524 -3.224
5.952 4.129 -1.325
Ba Zr Ir O
2 2 2 12
direct
0.877 0.627 0.754
0.123 0.373 0.246
0.500 0.000 0.500
0.000 0.000 0.500
0.500 0.500 0.000
0.500 0.000 0.000
0.454 0.704 0.908
0.845 0.095 0.690
0.816 0.101 0.257
0.441 0.655 0.257
0.441 0.101 0.257
0.816 0.655 0.257
0.546 0.296 0.092
0.155 0.905 0.310
0.184 0.899 0.743
0.559 0.345 0.743
0.559 0.899 0.743
0.184 0.345 0.743
```

---

Entry 12:
Density functional theory data (PBE) for Ba2IrOs after structural relaxation.

Results
volume: 26.85 A^3/atom
formation enthalpy at 0 K: 0.977 eV per atom
distance to the lowest polymorph of the same formula: 0.926 eV per atom
crystal system: orthorhombic
final energy: -5.01 eV/atom
space-group type: No. 47

POSCAR file:
```
Ba2IrOs
1.0
-0.207 -1.521 -2.970
-1.588 -3.560 1.934
-6.857 2.596 -0.851
Ir Os Ba
1 1 2
direct
0.500 0.500 0.250
0.500 0.500 0.750
0.000 0.000 0.007
0.000 0.000 0.493
```

---

What are the calculated density values for these records? In order: 6.72 7.17 7.26 5.51 5.22 5.75 6.61 7.84 7.21 5.55 6.07 10.16 g cm⁻³.